[1]
Compound: CaTi2AlO
Source: Alexandria via LeMat-Bulk
Functional: PBE
Structure: optimized geometry Values from VASP.

```
&SYSTEM
  ibrav = 0, nat = 5, ntyp = 4
/
ATOMIC_SPECIES
O 16.00 O.upf
Ti 47.87 Ti.upf
Ca 40.08 Ca.upf
Al 26.98 Al.upf
ATOMIC_POSITIONS crystal
O 0.5000 0.5000 0.5000
Ti 0.0000 0.0000 0.5000
Ti 0.5000 0.0000 0.0000
Ca 0.0000 0.0000 0.0000
Al 0.0000 0.5000 0.0000
CELL_PARAMETERS angstrom
4.6462 0.0000 0.0000
0.0000 5.1987 0.0000
0.0000 0.0000 4.6462
```

[2]
! PBE Y3Ho7Sc, optimized geometry; values from VASP
&SYSTEM
  ibrav = 0, nat = 11, ntyp = 3
/
ATOMIC_SPECIES
Y 88.91 Y.upf
Ho 164.93 Ho.upf
Sc 44.96 Sc.upf
ATOMIC_POSITIONS crystal
Y 0.7807 0.0017 0.5009
Y 0.7807 0.4991 0.5009
Y 0.7807 0.4991 0.9983
Ho 0.1212 0.1684 0.3369
Ho 0.1212 0.1684 0.8316
Ho 0.4478 0.3360 0.1680
Ho 0.1214 0.6667 0.3333
Ho 0.4478 0.8320 0.1680
Ho 0.4478 0.8320 0.6640
Ho 0.1212 0.6631 0.8316
Sc 0.4445 0.3333 0.6667
CELL_PARAMETERS angstrom
-5.9065 5.9205 1.6836
-2.7405 -0.9335 -6.3318
-2.2758 -3.7983 5.3727
! DFT formation energy = 0.197 eV/atom
! relative energy among the computed polymorphs = 41 meV per atom

[3]
! PBE K2MgIn2, optimized geometry; values from VASP
&SYSTEM
  ibrav = 0, nat = 10, ntyp = 3
/
ATOMIC_SPECIES
K 39.10 K.upf
In 114.82 In.upf
Mg 24.30 Mg.upf
ATOMIC_POSITIONS crystal
K 0.3232 0.1768 0.5000
K 0.6768 0.8232 0.5000
K 0.1768 0.6768 0.5000
K 0.8232 0.3232 0.5000
In 0.6336 0.1336 0.0000
In 0.1336 0.3664 0.0000
In 0.8664 0.6336 0.0000
In 0.3664 0.8664 0.0000
Mg 0.0000 0.0000 0.0000
Mg 0.5000 0.5000 0.0000
CELL_PARAMETERS angstrom
-4.4866 2.6357 -5.8656
-3.1219 -7.1455 -0.8229
-4.2928 1.4237 3.9233
! DFT formation energy = 0.014 eV/atom
! relative energy among the computed polymorphs = 0 meV per atom

[4]
! PBE CuAg2Te2, optimized geometry; values from VASP
&SYSTEM
  ibrav = 0, nat = 20, ntyp = 3
/
ATOMIC_SPECIES
Te 127.60 Te.upf
Cu 63.55 Cu.upf
Ag 107.87 Ag.upf
ATOMIC_POSITIONS crystal
Te 0.2330 0.5774 0.5952
Te 0.2670 0.0774 0.4048
Te 0.2555 0.9816 0.8551
Te 0.7445 0.0184 0.1449
Te 0.7670 0.4226 0.4048
Te 0.2445 0.4816 0.1449
Te 0.7330 0.9226 0.5952
Te 0.7555 0.5184 0.8551
Cu 0.3753 0.4453 0.3960
Cu 0.8753 0.0547 0.3960
Cu 0.1247 0.9453 0.6040
Cu 0.6247 0.5547 0.6040
Ag 0.5332 0.7967 0.3186
Ag 0.4916 0.2929 0.9709
Ag 0.9916 0.2071 0.9709
Ag 0.0332 0.7033 0.3186
Ag 0.4668 0.2033 0.6814
Ag 0.0084 0.7929 0.0291
Ag 0.5084 0.7071 0.0291
Ag 0.9668 0.2967 0.6814
CELL_PARAMETERS angstrom
-4.5939 -1.3152 -4.6954
1.5253 -6.8236 0.4190
-5.8790 -0.7830 8.6504
! relative energy among the computed polymorphs = 0 meV per atom

[5]
! PBE TbZnNi4Ge2, optimized geometry; values from VASP
&SYSTEM
  ibrav = 0, nat = 8, ntyp = 4
/
ATOMIC_SPECIES
Ni 58.69 Ni.upf
Ge 72.64 Ge.upf
Tb 158.93 Tb.upf
Zn 65.41 Zn.upf
ATOMIC_POSITIONS crystal
Ni 0.1324 0.1324 0.6027
Ni 0.5949 0.5949 0.2152
Ni 0.8676 0.8676 0.3973
Ni 0.4051 0.4051 0.7848
Ge 0.2445 0.2445 0.2664
Ge 0.7555 0.7555 0.7336
Tb 0.0000 0.0000 0.0000
Zn 0.5000 0.5000 0.5000
CELL_PARAMETERS angstrom
-3.2453 -0.3623 2.3804
-2.8871 -2.6758 -0.9134
1.8622 -6.7474 4.9417
! DFT formation energy = -0.401 eV/atom

[6]
! PBE CaTc4Ge12, optimized geometry; values from VASP
&SYSTEM
  ibrav = 0, nat = 17, ntyp = 3
/
ATOMIC_SPECIES
Ge 72.64 Ge.upf
Tc 98.00 Tc.upf
Ca 40.08 Ca.upf
ATOMIC_POSITIONS crystal
Ge 0.8174 0.1606 0.6567
Ge 0.8394 0.3433 0.1826
Ge 0.1826 0.8394 0.3433
Ge 0.3433 0.5039 0.1606
Ge 0.3433 0.1826 0.8394
Ge 0.5039 0.1606 0.3433
Ge 0.4961 0.8394 0.6567
Ge 0.6567 0.8174 0.1606
Ge 0.8394 0.6567 0.4961
Ge 0.1606 0.6567 0.8174
Ge 0.1606 0.3433 0.5039
Ge 0.6567 0.4961 0.8394
Tc 0.0000 0.0000 0.5000
Tc 0.5000 0.5000 0.5000
Tc 0.5000 0.0000 0.0000
Tc 0.0000 0.5000 0.0000
Ca 0.0000 0.0000 0.0000
CELL_PARAMETERS angstrom
-4.5138 -0.2572 6.1553
3.0691 -6.8905 -1.1960
5.5667 5.1038 1.1367
! DFT formation energy = 0.222 eV/atom

[7]
Compound: Ba4PdI2
Source: Alexandria via LeMat-Bulk
Functional: PBE
Structure: optimized geometry Values from VASP.

```
&SYSTEM
  ibrav = 0, nat = 7, ntyp = 3
/
ATOMIC_SPECIES
Ba 137.33 Ba.upf
I 126.90 I.upf
Pd 106.42 Pd.upf
ATOMIC_POSITIONS crystal
Ba 0.8130 0.8130 0.6260
Ba 0.1870 0.1870 0.3740
Ba 0.0000 0.5000 0.0000
Ba 0.5000 0.0000 0.0000
I 0.3869 0.3869 0.7737
I 0.6131 0.6131 0.2263
Pd 0.0000 0.0000 0.0000
CELL_PARAMETERS angstrom
6.2627 0.0000 0.0000
0.0000 6.2627 0.0000
-3.1313 -3.1313 8.7904
```

[8]
! PBE KSrSn2, optimized geometry; values from VASP
&SYSTEM
  ibrav = 0, nat = 4, ntyp = 3
/
ATOMIC_SPECIES
Sn 118.71 Sn.upf
Sr 87.62 Sr.upf
K 39.10 K.upf
ATOMIC_POSITIONS crystal
Sn 0.0000 0.5000 0.0000
Sn 0.0000 0.0000 0.5000
Sr 0.5000 0.5000 0.5000
K 0.5000 0.0000 0.0000
CELL_PARAMETERS angstrom
5.1452 0.0000 0.0000
0.0000 4.9953 0.0000
0.0000 0.0000 4.9953
! DFT formation energy = -0.288 eV/atom
! relative energy among the computed polymorphs = 181 meV per atom

no.,spin magnetization (μB/cell),VASP energy (eV per atom)
1,0.62,-3.32
2,0.01,-5.05
3,0.00,-1.84
4,0.00,-3.23
5,0.00,-5.18
6,0.00,-5.59
7,0.53,-3.07
8,0.00,-2.98